Record 1
5
Lattice="4.323 0.000 0.000 0.000 4.323 0.000 0.000 0.000 4.323" Properties=species:S:1:pos:R:3 comment="PBE RbYO3, relaxed" m_tot_mub_per_cell=0.00 space_group="Pm-3m (221)" raw_formation_energy_ev_per_atom=-0.28 total_energy_ev_per_atom=-4.744 pbc="T T T"
Rb 0.000 0.000 0.000
Y 2.162 2.162 2.162
O 0.000 0.000 2.162
O 0.000 2.162 0.000
O 2.162 0.000 0.000

***

Record 2
9
Lattice="7.204 -1.703 0.000 7.204 1.703 0.000 -2.227 0.000 6.555" Properties=species:S:1:pos:R:3 comment="PBE Rb2YZn2O4, relaxed" m_tot_mub_per_cell=0.00 space_group="C2/m (12)" raw_formation_energy_ev_per_atom=-1.72 total_energy_ev_per_atom=-5.145 pbc="T T T"
Rb 1.710 0.000 0.369
Rb 10.472 0.000 6.185
Y -1.114 0.000 3.277
Zn 3.557 0.000 3.045
Zn 8.624 0.000 3.509
O 0.901 0.000 4.518
O 5.070 0.000 4.447
O 7.111 0.000 2.107
O 11.281 0.000 2.036

***

Record 3
12
Lattice="-2.174 2.267 9.300 2.174 -2.267 9.300 2.174 2.267 -9.300" Properties=species:S:1:pos:R:3 comment="PBE RbY2Zr2O7, relaxed" m_tot_mub_per_cell=0.00 space_group="Immm (71)" raw_formation_energy_ev_per_atom=-2.97 total_energy_ev_per_atom=-8.444 pbc="T T T"
Rb 0.000 0.000 0.000
Y 2.174 0.000 4.463
Y 0.000 2.267 4.838
Zr 0.000 0.000 7.276
Zr 0.000 0.000 11.324
O 2.174 0.000 2.217
O 0.000 0.000 5.009
O 2.174 0.000 6.908
O 0.000 0.000 9.300
O 0.000 2.267 2.392
O 0.000 0.000 13.591
O 0.000 2.267 7.083

***

Record 4
9
Lattice="4.336 0.000 0.000 0.000 4.336 0.000 0.000 0.000 9.354" Properties=species:S:1:pos:R:3 comment="PBE Rb2Yb2O5, relaxed" m_tot_mub_per_cell=4.02 space_group="P4/mmm (123)" raw_formation_energy_ev_per_atom=-1.81 total_energy_ev_per_atom=-5.118 pbc="T T T"
Rb 0.000 0.000 0.000
Rb 0.000 0.000 4.677
Yb 2.168 2.168 2.142
Yb 2.168 2.168 7.212
O 0.000 2.168 2.594
O 0.000 2.168 6.761
O 2.168 0.000 2.594
O 2.168 0.000 6.761
O 2.168 2.168 0.000